Here is a relaxed structure of KTe2NO from the Alexandria database. Energies are from PBE.

Calculated values
Offset from the most stable computed form ... 0 meV per atom
Crystal system ... tetragonal
E_form (uncorrected) ... 0.59 eV/atom

a = 4.5756 Å, b = 4.5756 Å, c = 6.0252 Å
α = 90.00°, β = 90.00°, γ = 90.00°
Site moments in Bohr magnetons follow the coordinates.
Atoms (fractional coordinates):
K: 0.5000 0.5000 0.5000  0.00
Te: 0.0000 0.5000 0.0000  0.07
Te: 0.5000 0.0000 0.0000  0.07
O: 0.0000 0.0000 0.0000  0.03
N: 0.0000 0.0000 0.5000  1.69